[1]
VASP calculation (PBE) on MgVH after structural relaxation.

Lattice parameters (Å, degrees): 2.859 2.867 9.780 90.45 92.89 114.29
Fractional positions:
H  0.902  0.698  0.897
H  0.495  0.967  0.737
Mg  0.481  0.924  0.536
Mg  0.988  0.315  0.265
V  0.490  0.746  0.028
V  0.165  0.322  0.805



[2]
VASP calculation (PBE) on MgVH after structural relaxation.

Lattice parameters (Å, degrees): 10.623 2.913 2.913 117.28 110.01 69.99
Fractional positions:
H  0.313  0.665  0.335
H  0.971  0.459  0.541
Mg  0.491  0.212  0.788
Mg  0.766  0.622  0.378
V  0.235  0.068  0.932
V  0.036  0.741  0.259



[3]
VASP calculation (PBE) on MgV2H after structural relaxation.

Lattice parameters (Å, degrees): 2.726 2.726 7.941 80.12 80.12 60.00
Fractional positions:
H  0.500  0.500  0.500
Mg  0.000  0.000  0.000
V  0.115  0.115  0.654
V  0.885  0.885  0.346



[4]
VASP calculation (PBE) on MgVH after structural relaxation.

Lattice parameters (Å, degrees): 4.029 7.815 4.677 90.00 90.00 90.00
Fractional positions:
H  0.750  0.250  0.750
H  0.750  0.750  0.250
H  0.250  0.750  0.250
H  0.250  0.250  0.750
Mg  0.000  0.000  0.000
Mg  0.500  0.500  0.500
Mg  0.500  0.000  0.500
Mg  0.000  0.500  0.000
V  0.500  0.250  0.059
V  0.000  0.750  0.559
V  0.500  0.750  0.941
V  0.000  0.250  0.441



[5]
VASP calculation (PBE) on MgVH after structural relaxation.

Lattice parameters (Å, degrees): 2.866 2.875 9.960 81.94 104.57 115.37
Fractional positions:
H  0.681  0.680  0.036
H  0.903  0.402  0.861
Mg  0.734  0.926  0.484
Mg  0.133  0.362  0.210
V  0.273  0.035  0.952
V  0.364  0.470  0.726



[6]
VASP calculation (PBE) on Mg2VH after structural relaxation.

Lattice parameters (Å, degrees): 4.669 4.669 4.669 60.00 60.00 60.00
Fractional positions:
H  0.000  0.000  0.000
Mg  0.250  0.250  0.250
Mg  0.750  0.750  0.750
V  0.500  0.500  0.500



[7]
VASP calculation (PBE) on Mg2VH6 after structural relaxation.

Lattice parameters (Å, degrees): 4.764 4.764 4.764 60.00 60.00 60.00
Fractional positions:
Mg  0.750  0.750  0.750
Mg  0.250  0.250  0.250
V  0.000  0.000  0.000
H  0.258  0.742  0.742
H  0.742  0.742  0.258
H  0.742  0.258  0.742
H  0.742  0.258  0.258
H  0.258  0.258  0.742
H  0.258  0.742  0.258



[8]
VASP calculation (PBE) on Mg2VH after structural relaxation.

Lattice parameters (Å, degrees): 5.984 5.984 5.670 58.15 58.15 90.00
Fractional positions:
H  0.500  0.500  0.000
H  0.250  0.750  0.500
Mg  0.481  0.125  0.250
Mg  0.269  0.625  0.250
Mg  0.375  0.519  0.750
Mg  0.875  0.731  0.750
V  0.000  0.000  0.000
V  0.750  0.250  0.500



Across the entries above, energy above the lowest structure with this stoichiometry takes the values 0.052, 0.004, 0.059, 0.282, 0.047, 0.376, 0.107, 0.000 eV per atom, respectively.